The following is a DFT calculation (PBEsol) of InCuP2Cl after structural relaxation.

Unit cell a=4.385 b=4.385 c=5.336 alpha=90.00 beta=90.00 gamma=90.00
Atoms (fractional coordinates):
1 In 0.000 0.000 0.000
2 Cu 0.500 0.500 0.500
3 P 0.000 0.500 0.500
4 P 0.500 0.000 0.500
5 Cl 0.500 0.500 0.000

Uncorrected formation energy ... 413 meV per atom
D(E_F) ... 4.2 states/eV/cell
Space group ... P4/mmm


The following is a DFT calculation (PBEsol) of BaCuSi2 after structural relaxation.

Unit cell a=5.739 b=9.801 c=2.952 alpha=90.00 beta=90.00 gamma=90.00
Atoms (fractional coordinates):
1 Ba 0.000 0.000 0.000
2 Ba 0.500 0.500 0.000
3 Cu 0.000 0.500 0.000
4 Cu 0.500 0.000 0.000
5 Si 0.250 0.250 0.500
6 Si 0.250 0.750 0.500
7 Si 0.750 0.250 0.500
8 Si 0.750 0.750 0.500

Uncorrected formation energy ... 542 meV per atom
D(E_F) ... 3.6 states/eV/cell
Space group ... Cmmm